The following is a DFT calculation (SCAN) of a crystal of TiNb2Ga2 relaxed with PBEsol.

Summary:
energy above the most stable polymorph in this dataset = 0 meV/atom
energy relative to the elements = -0.4956 eV/atom
M_tot = 0.0 μB/f.u.

abc: 6.8279 6.8279 3.4956
angles: 90.00 90.00 90.00
Closest atoms and distances in Å follow each position.
Space group P4/mbm (No. 127)
Symmetry-distinct sites (fractional):
Ti  0.0000  0.0000  0.0000 x2  4 Ga 2.69
Nb  0.1738  0.3262  0.5000 x4  6 Ga 2.60-2.72
Ga  0.1275  0.6275  0.0000 x4  1 Ga 2.46, 6 Nb 2.60-2.72, 2 Ti 2.69

---

The following is a DFT calculation (SCAN) of a crystal of TiNb2Ga2 relaxed with PBEsol.

Summary:
energy above the most stable polymorph in this dataset = 714 meV/atom
energy relative to the elements = 0.2189 eV/atom
M_tot = 0.0 μB/f.u.

abc: 3.4898 3.4898 14.4159
angles: 90.00 90.00 90.00
Closest atoms and distances in Å follow each position.
Space group I4/mmm (No. 139)
Symmetry-distinct sites (fractional):
Ti  0.0000  0.0000  0.0000 x2  8 Nb 2.83
Nb  0.0000  0.0000  0.4035 x4  1 Nb 2.78, 4 Ga 2.82, 4 Ti 2.83
Ga  0.0000  0.5000  0.2500 x4  4 Ga 2.47

---

The following is a DFT calculation (SCAN) of a crystal of NbTl3Ga relaxed with PBEsol.

Summary:
energy relative to the elements = 0.5995 eV/atom
M_tot = 0.0 μB/f.u.

abc: 5.4070 5.4070 5.4070
angles: 90.00 90.00 90.00
Closest atoms and distances in Å follow each position.
Space group Pm-3m (No. 221)
Symmetry-distinct sites (fractional):
Nb  0.0000  0.0000  0.0000 x1  6 Tl 2.70
Tl  0.0000  0.0000  0.5000 x3  2 Nb 2.70
Ga  0.5000  0.5000  0.5000 x1  12 Tl 3.82

---

The following is a DFT calculation (SCAN) of a crystal of Nb3GaW relaxed with PBEsol.

Summary:
energy relative to the elements = 1.2461 eV/atom
M_tot = 0.0 μB/f.u.

abc: 4.8174 4.8174 4.8174
angles: 90.00 90.00 90.00
Closest atoms and distances in Å follow each position.
Space group Pm-3m (No. 221)
Symmetry-distinct sites (fractional):
Nb  0.0000  0.0000  0.5000 x3  2 W 2.41
Ga  0.5000  0.5000  0.5000 x1  12 Nb 3.41
W  0.0000  0.0000  0.0000 x1  6 Nb 2.41

---

The following is a DFT calculation (SCAN) of a crystal of Nb2Ga2W relaxed with PBEsol.

Summary:
energy relative to the elements = -0.3183 eV/atom
M_tot = 0.0 μB/f.u.

abc: 6.7352 6.7352 3.4961
angles: 90.00 90.00 90.00
Closest atoms and distances in Å follow each position.
Space group P4/mbm (No. 127)
Symmetry-distinct sites (fractional):
Nb  0.1750  0.3250  0.0000 x4  6 Ga 2.57-2.70
Ga  0.1277  0.6277  0.5000 x4  1 Ga 2.43, 6 Nb 2.57-2.70, 2 W 2.65
W  0.0000  0.0000  0.5000 x2  4 Ga 2.65

---

The following is a DFT calculation (SCAN) of a crystal of NbGaW3 relaxed with PBEsol.

Summary:
energy relative to the elements = 2.5174 eV/atom
M_tot = 0.0 μB/f.u.

abc: 4.7257 4.7257 4.7257
angles: 90.00 90.00 90.00
Closest atoms and distances in Å follow each position.
Space group Pm-3m (No. 221)
Symmetry-distinct sites (fractional):
Nb  0.0000  0.0000  0.0000 x1  6 W 2.36
Ga  0.5000  0.5000  0.5000 x1  12 W 3.34
W  0.0000  0.0000  0.5000 x3  2 Nb 2.36